DFT (GGA+U) results for a relaxed Rb3Ca2WO6 crystal.

Calculated values
As for the crystal system: monoclinic. Its total energy is -5.80 eV per atom.

Cell lengths 5.951, 10.413, 6.729 Å; angles 90.00, 107.15, 90.00 degrees
Space group C2/m (No. 12)
Inequivalent atoms, fractional coordinates:
1 Rb 0.000 0.000 0.000 x2
2 Rb 0.000 0.330 0.000 x4
3 Ca 0.000 0.170 0.500 x4
4 W 0.000 0.500 0.500 x2
5 O 0.207 0.353 0.675 x8
6 O 0.224 0.500 0.329 x4